Record 1
VASP calculation (GGA-PBE) on a geometry-optimized TmAgAsO4 structure.

Values from the calculation:
The value obtained for the uncorrected formation energy is -11.544 eV/f.u.

Unit cell a=6.4156 b=6.4702 c=6.4702 alpha=65.87 beta=60.28 gamma=60.28
With the nearest neighbours (Å) after each atom.
Positions (direct):
O: 0.2320 0.7437 0.2437  1 As 2.04, 1 Ag 2.25, 2 Tm 2.28
O: 0.7423 0.3048 0.2106  1 As 1.77
O: 0.7423 0.7106 0.8048  1 As 1.77
O: 0.2577 0.6952 0.7894  1 As 1.77
O: 0.7806 0.7437 0.2437  1 As 2.04, 1 Ag 2.25, 2 Tm 2.28
O: 0.2194 0.2563 0.7563  1 As 2.04, 1 Ag 2.25, 2 Tm 2.28
O: 0.7680 0.2563 0.7563  1 As 2.04, 1 Ag 2.25, 2 Tm 2.28
O: 0.2577 0.2894 0.1952  1 As 1.77
As: 0.3767 0.3733 0.8733  2 O 1.77
As: 0.6233 0.6267 0.1267  2 O 1.77
Tm: 0.0000 0.5000 0.5000  6 O 2.28
Tm: 0.0000 0.0000 0.0000  6 O 2.28
Ag: 0.0000 0.0000 0.5000  2 O 2.25
Ag: 0.5000 0.0000 0.5000  2 O 2.25

Record 2
VASP calculation (GGA-PBE) on a geometry-optimized Pm2Sm6Sc structure.

Values from the calculation:
The relative energy among the computed polymorphs comes out at 0.0 kJ per mole of atoms. The energy of formation comes out at 0.09 eV per atom.

Unit cell a=6.1673 b=10.0932 c=10.0932 alpha=70.77 beta=84.65 gamma=84.65
With the nearest neighbours (Å) after each atom.
Positions (direct):
Pm: 0.4346 0.5681 0.7745  9 Sm 3.47-3.79
Pm: 0.9346 0.7745 0.5681  9 Sm 3.47-3.79
Pm: 0.5654 0.4319 0.2255  9 Sm 3.47-3.79
Pm: 0.0654 0.2255 0.4319  9 Sm 3.47-3.79
Sm: 0.1413 0.3433 0.0680  4 Sm 3.39-3.56, 1 Sc 3.40, 3 Pm 3.47-3.54
Sm: 0.5113 0.3093 0.5925  4 Sm 3.34-3.68, 1 Sc 3.43, 3 Pm 3.49-3.63
Sm: 0.3587 0.9320 0.6567  4 Sm 3.39-3.56, 1 Sc 3.40, 3 Pm 3.47-3.54
Sm: 0.8266 0.0260 0.7567  2 Sc 3.32-3.35, 5 Sm 3.34-3.59, 2 Pm 3.50-3.63
Sm: 0.1734 0.9740 0.2433  2 Sc 3.32-3.35, 5 Sm 3.34-3.59, 2 Pm 3.50-3.63
Sm: 0.4887 0.6907 0.4075  4 Sm 3.34-3.68, 1 Sc 3.43, 3 Pm 3.49-3.63
Sm: 0.6413 0.0680 0.3433  4 Sm 3.39-3.56, 1 Sc 3.40, 3 Pm 3.47-3.54
Sm: 0.9887 0.4075 0.6907  4 Sm 3.34-3.68, 1 Sc 3.43, 3 Pm 3.49-3.63
Sm: 0.3266 0.7567 0.0260  2 Sc 3.32-3.35, 5 Sm 3.34-3.59, 2 Pm 3.50-3.63
Sm: 0.0113 0.5925 0.3093  4 Sm 3.34-3.68, 1 Sc 3.43, 3 Pm 3.49-3.63
Sm: 0.6734 0.2433 0.9740  2 Sc 3.32-3.35, 5 Sm 3.34-3.59, 2 Pm 3.50-3.63
Sm: 0.8587 0.6567 0.9320  4 Sm 3.39-3.56, 1 Sc 3.40, 3 Pm 3.47-3.54
Sc: 0.2500 0.1044 0.8956  8 Sm 3.32-3.43
Sc: 0.7500 0.8956 0.1044  8 Sm 3.32-3.43

Record 3
VASP calculation (GGA-PBE) on a geometry-optimized Sc2Ni5As3 structure.

Values from the calculation:
The energy of formation comes out at -0.65 eV per atom.

Unit cell a=3.9535 b=6.3729 c=11.4330 alpha=90.00 beta=99.96 gamma=90.00
With the nearest neighbours (Å) after each atom.
Positions (direct):
Sc: 0.1750 0.7407 0.3501  9 Ni 2.76-3.01, 4 As 2.78-2.95
Sc: 0.8250 0.2407 0.6499  9 Ni 2.76-3.01, 4 As 2.78-2.95
Sc: 0.5180 0.2571 0.0359  5 As 2.73-2.82, 6 Ni 2.80-3.00
Sc: 0.4820 0.7571 0.9641  5 As 2.73-2.82, 6 Ni 2.80-3.00
Ni: 0.7067 0.4034 0.4134  4 As 2.36-2.41, 1 Ni 2.55
Ni: 0.8767 0.7430 0.7534  2 As 2.38-2.43, 1 Ni 2.64
Ni: 0.7162 0.0050 0.4324  3 As 2.31-2.35, 2 Ni 2.53-2.55
Ni: 0.1233 0.2430 0.2466  2 As 2.38-2.43, 1 Ni 2.64
Ni: 0.3944 0.4336 0.7888  3 As 2.36-2.52, 1 Ni 2.53
Ni: 0.2838 0.5050 0.5676  3 As 2.31-2.35, 2 Ni 2.53-2.55
Ni: 0.6056 0.9336 0.2112  3 As 2.36-2.52, 1 Ni 2.53
Ni: 0.9463 0.0756 0.8926  4 As 2.35-2.50
Ni: 0.0537 0.5756 0.1074  4 As 2.35-2.50
Ni: 0.2933 0.9034 0.5866  4 As 2.36-2.41, 1 Ni 2.55
As: 0.0490 0.9669 0.0980  5 Ni 2.36-2.50
As: 0.2283 0.2006 0.4566  7 Ni 2.31-2.41
As: 0.3906 0.0391 0.7813  4 Ni 2.35-2.52
As: 0.6094 0.5391 0.2187  4 Ni 2.35-2.52
As: 0.7717 0.7006 0.5434  7 Ni 2.31-2.41
As: 0.9510 0.4669 0.9020  5 Ni 2.36-2.50

Record 4
VASP calculation (GGA-PBE) on a geometry-optimized LiPuS structure.

Values from the calculation:
The relative energy among the computed polymorphs comes out at 0.0 kJ per mole of atoms. The value obtained for the uncorrected formation energy is -2.906 eV/f.u.

Unit cell a=3.8680 b=3.8680 c=7.4070 alpha=90.00 beta=90.00 gamma=90.00
With the nearest neighbours (Å) after each atom.
Positions (direct):
Pu: 0.0000 0.5000 0.8664  5 S 2.95-3.09
Pu: 0.5000 0.0000 0.1336  5 S 2.95-3.09
S: 0.0000 0.5000 0.2836  4 Li 2.51
S: 0.5000 0.0000 0.7164  4 Li 2.51
Li: 0.5000 0.5000 0.5000  4 S 2.51, 4 Li 2.74
Li: 0.0000 0.0000 0.5000  4 S 2.51, 4 Li 2.74

Record 5
VASP calculation (GGA-PBE) on a geometry-optimized Tb2Ho6Er structure.

Values from the calculation:
The relative energy among the computed polymorphs comes out at 0.0 kJ per mole of atoms. The energy of formation comes out at 0.02 eV per atom.

Unit cell a=4.9837 b=10.5609 c=10.5615 alpha=90.00 beta=90.00 gamma=90.00
With the nearest neighbours (Å) after each atom.
Positions (direct):
Ho: 0.0000 0.6668 0.8335  6 Ho 3.52, 4 Tb 3.52, 2 Er 3.52
Ho: 0.5000 0.4998 0.6667  8 Ho 3.52, 1 Er 3.52, 3 Tb 3.52-3.53
Ho: 0.5000 0.8332 0.3334  6 Ho 3.52, 4 Tb 3.52, 2 Er 3.52
Ho: 0.0000 0.3332 0.1665  6 Ho 3.52, 4 Tb 3.52, 2 Er 3.52
Ho: 0.5000 0.1668 0.6666  6 Ho 3.52, 4 Tb 3.52, 2 Er 3.52
Ho: 0.5000 0.8334 0.0004  8 Ho 3.52, 1 Er 3.52, 3 Tb 3.52-3.53
Ho: 0.5000 0.5002 0.3333  8 Ho 3.52, 1 Er 3.52, 3 Tb 3.52-3.53
Ho: 0.0000 0.9998 0.8334  8 Ho 3.52, 3 Tb 3.52-3.53, 1 Er 3.52
Ho: 0.0000 0.0002 0.1666  8 Ho 3.52, 3 Tb 3.52-3.53, 1 Er 3.52
Ho: 0.5000 0.1666 0.9996  8 Ho 3.52, 1 Er 3.52, 3 Tb 3.52-3.53
Ho: 0.0000 0.3333 0.4996  8 Ho 3.52, 1 Er 3.52, 3 Tb 3.52-3.53
Ho: 0.0000 0.6667 0.5004  8 Ho 3.52, 1 Er 3.52, 3 Tb 3.52-3.53
Tb: 0.0000 0.3336 0.8335  10 Ho 3.52-3.53, 2 Er 3.52
Tb: 0.0000 0.6664 0.1665  10 Ho 3.52-3.53, 2 Er 3.52
Tb: 0.5000 0.1663 0.3334  10 Ho 3.52-3.53, 2 Er 3.52
Tb: 0.5000 0.8337 0.6666  10 Ho 3.52-3.53, 2 Er 3.52
Er: 0.5000 0.5000 0.0000  4 Tb 3.52, 8 Ho 3.52
Er: 0.0000 0.0000 0.5000  4 Tb 3.52, 8 Ho 3.52

Record 6
VASP calculation (GGA-PBE) on a geometry-optimized NbCoAs structure.

Values from the calculation:
The energy of formation comes out at 0.01 eV per atom.

Unit cell a=5.6169 b=5.6169 c=10.1279 alpha=90.00 beta=90.00 gamma=120.00
With the nearest neighbours (Å) after each atom.
Positions (direct):
As: 0.5000 0.5000 0.2866  4 Co 2.28-2.43
As: 0.0000 0.5000 0.6199  4 Co 2.28-2.43
As: 0.0000 0.5000 0.0468  4 Co 2.28-2.43
As: 0.5000 0.0000 0.3801  4 Co 2.28-2.43
As: 0.5000 0.5000 0.7134  4 Co 2.28-2.43
As: 0.5000 0.0000 0.9532  4 Co 2.28-2.43
Co: 0.2281 0.6140 0.8333  1 Co 2.22, 4 As 2.28-2.43
Co: 0.3860 0.6140 0.5000  1 Co 2.22, 4 As 2.28-2.43
Co: 0.7719 0.3860 0.8333  1 Co 2.22, 4 As 2.28-2.43
Co: 0.6140 0.2281 0.1667  1 Co 2.22, 4 As 2.28-2.43
Co: 0.6140 0.3860 0.5000  1 Co 2.22, 4 As 2.28-2.43
Co: 0.3860 0.7719 0.1667  1 Co 2.22, 4 As 2.28-2.43
Nb: 0.5000 0.5000 0.0000  4 Co 2.56, 4 As 2.85
Nb: 0.0000 0.0000 0.1667  4 Co 3.02, 4 As 3.06, 6 Nb 3.28-3.38
Nb: 0.0000 0.0000 0.5000  4 Co 3.02, 4 As 3.06, 6 Nb 3.28-3.38
Nb: 0.0000 0.0000 0.8333  4 Co 3.02, 4 As 3.06, 6 Nb 3.28-3.38
Nb: 0.5000 0.0000 0.6667  4 Co 2.56, 4 As 2.85
Nb: 0.0000 0.5000 0.3333  4 Co 2.56, 4 As 2.85

Record 7
VASP calculation (GGA-PBE) on a geometry-optimized V3In2Cl10 structure.

Values from the calculation:
The value obtained for the uncorrected formation energy is -16.214 eV/f.u.

Unit cell a=7.1841 b=9.6030 c=11.9965 alpha=110.74 beta=107.42 gamma=90.00
With the nearest neighbours (Å) after each atom.
Positions (direct):
Cl: 0.9816 0.8128 0.9633  3 V 2.48-2.57
Cl: 0.2340 0.5000 0.0000  2 V 2.41
Cl: 0.2321 0.2793 0.4642  1 V 2.33
Cl: 0.6401 0.9651 0.7807  2 V 2.37-2.41
Cl: 0.0000 0.0000 0.5000  2 V 2.54
Cl: 0.0184 0.1872 0.0367  3 V 2.48-2.57
Cl: 0.8692 0.2526 0.7384  2 V 2.45-2.47
Cl: 0.8594 0.0349 0.2193  2 V 2.37-2.41
Cl: 0.1406 0.9651 0.7807  2 V 2.37-2.41
Cl: 0.5182 0.1784 0.0364  2 V 2.39
Cl: 0.4818 0.8216 0.9636  2 V 2.39
Cl: 0.3599 0.0349 0.2193  2 V 2.37-2.41
Cl: 0.9041 0.4623 0.2802  1 V 2.35
Cl: 0.3760 0.4623 0.2802  1 V 2.35
Cl: 0.6240 0.5377 0.7198  1 V 2.35
Cl: 0.7679 0.7207 0.5358  1 V 2.33
Cl: 0.1308 0.7474 0.2616  2 V 2.45-2.47
Cl: 0.5000 0.0000 0.5000  2 V 2.54
Cl: 0.0959 0.5377 0.7198  1 V 2.35
Cl: 0.7660 0.5000 0.0000  2 V 2.41
V: 0.1751 0.0219 0.3503  6 Cl 2.33-2.54
V: 0.0708 0.4744 0.1417  6 Cl 2.35-2.57
V: 0.7464 0.0000 0.0000  6 Cl 2.39-2.48
V: 0.9292 0.5256 0.8583  6 Cl 2.35-2.57
V: 0.2536 0.0000 0.0000  6 Cl 2.39-2.48
V: 0.8249 0.9781 0.6497  6 Cl 2.33-2.54
In: 0.2542 0.6617 0.5084  3 Cl 3.11-3.22
In: 0.7458 0.3383 0.4916  3 Cl 3.11-3.22
In: 0.3639 0.2833 0.7278  3 Cl 3.00-3.12
In: 0.6361 0.7167 0.2722  3 Cl 3.00-3.12

Record 8
VASP calculation (GGA-PBE) on a geometry-optimized CrAg3B structure.

Values from the calculation:
The relative energy among the computed polymorphs comes out at 0.0 kJ per mole of atoms. The energy of formation comes out at 0.63 eV per atom.

Unit cell a=4.3675 b=4.3675 c=4.3675 alpha=90.00 beta=90.00 gamma=90.00
With the nearest neighbours (Å) after each atom.
Positions (direct):
Ag: 0.0000 0.5000 0.0000  2 B 2.18
Ag: 0.0000 0.0000 0.5000  2 B 2.18
Ag: 0.5000 0.0000 0.0000  2 B 2.18
Cr: 0.5000 0.5000 0.5000  12 Ag 3.09
B: 0.0000 0.0000 0.0000  6 Ag 2.18

Record 9
VASP calculation (GGA-PBE) on a geometry-optimized Ce6Sn2BiTe3 structure.

Values from the calculation:
The value obtained for the uncorrected formation energy is -12.013 eV/f.u.

Unit cell a=4.5447 b=9.0058 c=10.0854 alpha=102.30 beta=103.02 gamma=90.00
With the nearest neighbours (Å) after each atom.
Positions (direct):
Te: 0.5000 0.5000 0.0000  6 Ce 3.18-3.22
Te: 0.1654 0.8324 0.3307  6 Ce 3.19-3.22
Te: 0.8346 0.1676 0.6693  6 Ce 3.19-3.22
Ce: 0.3318 0.9127 0.6636  2 Sn 3.17, 3 Te 3.19-3.22, 1 Bi 3.23
Ce: 0.6679 0.5804 0.3358  3 Sn 3.17-3.18, 3 Te 3.22
Ce: 0.3321 0.4196 0.6642  3 Sn 3.17-3.18, 3 Te 3.22
Ce: 0.6682 0.0873 0.3364  2 Sn 3.17, 3 Te 3.19-3.22, 1 Bi 3.23
Ce: 0.9980 0.7466 0.9959  1 Sn 3.16, 3 Te 3.18-3.21, 2 Bi 3.21
Ce: 0.0020 0.2534 0.0041  1 Sn 3.16, 3 Te 3.18-3.21, 2 Bi 3.21
Sn: 0.1666 0.3327 0.3333  6 Ce 3.16-3.18
Sn: 0.8334 0.6673 0.6667  6 Ce 3.16-3.18
Bi: 0.5000 0.0000 0.0000  6 Ce 3.21-3.23

Record 10
VASP calculation (GGA-PBE) on a geometry-optimized PaZnRh structure.

Values from the calculation:
The energy of formation comes out at 0.22 eV per atom.

Unit cell a=2.9251 b=2.9251 c=7.5428 alpha=101.18 beta=101.18 gamma=90.00
With the nearest neighbours (Å) after each atom.
Positions (direct):
Zn: 0.7803 0.7803 0.5606  1 Rh 2.53
Pa: 0.1150 0.1150 0.2299  1 Rh 2.32
Rh: 0.9547 0.9547 0.9095  1 Pa 2.32, 1 Zn 2.53

Copy entry 1 word for word.
VASP calculation (GGA-PBE) on a geometry-optimized TmAgAsO4 structure.

Values from the calculation:
The value obtained for the uncorrected formation energy is -11.544 eV/f.u.

Unit cell a=6.4156 b=6.4702 c=6.4702 alpha=65.87 beta=60.28 gamma=60.28
With the nearest neighbours (Å) after each atom.
Positions (direct):
O: 0.2320 0.7437 0.2437  1 As 2.04, 1 Ag 2.25, 2 Tm 2.28
O: 0.7423 0.3048 0.2106  1 As 1.77
O: 0.7423 0.7106 0.8048  1 As 1.77
O: 0.2577 0.6952 0.7894  1 As 1.77
O: 0.7806 0.7437 0.2437  1 As 2.04, 1 Ag 2.25, 2 Tm 2.28
O: 0.2194 0.2563 0.7563  1 As 2.04, 1 Ag 2.25, 2 Tm 2.28
O: 0.7680 0.2563 0.7563  1 As 2.04, 1 Ag 2.25, 2 Tm 2.28
O: 0.2577 0.2894 0.1952  1 As 1.77
As: 0.3767 0.3733 0.8733  2 O 1.77
As: 0.6233 0.6267 0.1267  2 O 1.77
Tm: 0.0000 0.5000 0.5000  6 O 2.28
Tm: 0.0000 0.0000 0.0000  6 O 2.28
Ag: 0.0000 0.0000 0.5000  2 O 2.25
Ag: 0.5000 0.0000 0.5000  2 O 2.25